Record 1
Compound: Sc3P
Source: Alexandria
Functional: PBE
Structure: relaxed

Cell lengths 9.3360, 9.3360, 3.1918 Å; angles 90.00, 90.00, 120.00 degrees
Last column: nearest neighbours and their distance in Å.
Fractional positions:
Sc  0.0000  0.5000  0.0000  2 P 2.90, 6 Sc 2.90-3.19
Sc  0.1667  0.3333  0.3333  6 Sc 2.90-3.19, 2 P 2.90
Sc  0.1667  0.8333  0.3333  2 P 2.90, 6 Sc 2.90-3.19
Sc  0.3333  0.1667  0.6667  6 Sc 2.90-3.19, 2 P 2.90
Sc  0.5000  0.0000  0.0000  2 P 2.90, 6 Sc 2.90-3.19
Sc  0.5000  0.5000  0.0000  6 Sc 2.90-3.19, 2 P 2.90
Sc  0.6667  0.8333  0.3333  6 Sc 2.90-3.19, 2 P 2.90
Sc  0.8333  0.1667  0.6667  2 P 2.90, 6 Sc 2.90-3.19
Sc  0.8333  0.6667  0.6667  6 Sc 2.90-3.19, 2 P 2.90
P  0.0000  0.0000  0.0000  6 Sc 2.90, 2 P 3.19
P  0.3333  0.6667  0.6667  6 Sc 2.90, 2 P 3.19
P  0.6667  0.3333  0.3333  6 Sc 2.90, 2 P 3.19

The calculated volume comes out at 20.1 A^3/atom. For the energy of formation, the calculation gives -1.1 eV/f.u. The calculated density comes out at 3.4 g/cm³.

***

Record 2
Compound: Sc2P
Source: Alexandria
Functional: PBE
Structure: relaxed

Cell lengths 6.3061, 6.3061, 6.3061 Å; angles 90.00, 90.00, 90.00 degrees
Last column: nearest neighbours and their distance in Å.
Fractional positions:
Sc  0.1549  0.1549  0.1549  3 P 2.58
Sc  0.1549  0.3451  0.6549  3 P 2.58
Sc  0.3451  0.6549  0.1549  3 P 2.58
Sc  0.3451  0.8451  0.6549  3 P 2.58
Sc  0.6549  0.1549  0.3451  3 P 2.58
Sc  0.6549  0.3451  0.8451  3 P 2.58
Sc  0.8451  0.6549  0.3451  3 P 2.58
Sc  0.8451  0.8451  0.8451  3 P 2.58
P  0.0000  0.0000  0.5000  6 Sc 2.58
P  0.0000  0.5000  0.0000  6 Sc 2.58
P  0.5000  0.0000  0.0000  6 Sc 2.58
P  0.5000  0.5000  0.5000  6 Sc 2.58

The calculated volume comes out at 20.9 A^3/atom. For the energy of formation, the calculation gives -2.6 eV/f.u. The calculated density comes out at 3.2 g/cm³.

***

Record 3
Compound: ScP3
Source: Alexandria
Functional: PBE
Structure: relaxed

Cell lengths 4.0010, 4.0010, 4.0010 Å; angles 90.00, 90.00, 90.00 degrees
Last column: nearest neighbours and their distance in Å.
Fractional positions:
Sc  0.0000  0.0000  0.0000  12 P 2.83
P  0.0000  0.5000  0.5000  4 Sc 2.83, 8 P 2.83
P  0.5000  0.0000  0.5000  4 Sc 2.83, 8 P 2.83
P  0.5000  0.5000  0.0000  4 Sc 2.83, 8 P 2.83

The calculated volume comes out at 16.0 A^3/atom. For the energy of formation, the calculation gives -0.7 eV/f.u. The calculated density comes out at 3.6 g/cm³.

***

Record 4
Compound: Sc3P5
Source: Alexandria
Functional: PBE
Structure: relaxed

Cell lengths 7.8498, 7.8498, 5.0987 Å; angles 90.00, 90.00, 120.00 degrees
Last column: nearest neighbours and their distance in Å.
Fractional positions:
Sc  0.0000  0.3694  0.2500  6 P 2.52-2.79
Sc  0.0000  0.6306  0.7500  6 P 2.52-2.79
Sc  0.3694  0.0000  0.2500  6 P 2.52-2.79
Sc  0.3694  0.3694  0.7500  6 P 2.52-2.79
Sc  0.6306  0.0000  0.7500  6 P 2.52-2.79
Sc  0.6306  0.6306  0.2500  6 P 2.52-2.79
P  0.0000  0.2050  0.7500  2 Sc 2.52, 2 P 2.79
P  0.0000  0.7950  0.2500  2 Sc 2.52, 2 P 2.79
P  0.2050  0.0000  0.7500  2 Sc 2.52, 2 P 2.79
P  0.2050  0.2050  0.2500  2 Sc 2.52, 2 P 2.79
P  0.3333  0.6667  0.0000  2 P 2.55, 6 Sc 2.79
P  0.3333  0.6667  0.5000  2 P 2.55, 6 Sc 2.79
P  0.6667  0.3333  0.0000  2 P 2.55, 6 Sc 2.79
P  0.6667  0.3333  0.5000  2 P 2.55, 6 Sc 2.79
P  0.7950  0.0000  0.2500  2 Sc 2.52, 2 P 2.79
P  0.7950  0.7950  0.7500  2 Sc 2.52, 2 P 2.79

The calculated volume comes out at 17.0 A^3/atom. For the energy of formation, the calculation gives -5.5 eV/f.u. The calculated density comes out at 3.5 g/cm³.

***

Record 5
Compound: ScP8
Source: Alexandria
Functional: PBE
Structure: relaxed

Cell lengths 7.2717, 7.2717, 7.2717 Å; angles 92.66, 92.66, 155.11 degrees
Last column: nearest neighbours and their distance in Å.
Fractional positions:
Sc  0.0000  0.0000  0.0000  12 P 2.65-2.74
P  0.0000  0.2636  0.2636  4 P 2.47, 1 Sc 2.65
P  0.0000  0.7364  0.7364  4 P 2.47, 1 Sc 2.65
P  0.2636  0.0000  0.2636  4 P 2.47, 1 Sc 2.65
P  0.3414  0.3414  0.6828  4 P 2.47, 2 Sc 2.74
P  0.3414  0.6586  0.0000  4 P 2.47, 2 Sc 2.74
P  0.6586  0.3414  0.0000  4 P 2.47, 2 Sc 2.74
P  0.6586  0.6586  0.3172  4 P 2.47, 2 Sc 2.74
P  0.7364  0.0000  0.7364  4 P 2.47, 1 Sc 2.65

The calculated volume comes out at 17.6 A^3/atom. For the energy of formation, the calculation gives 1.1 eV/f.u. The calculated density comes out at 3.1 g/cm³.

***

Record 6
Compound: Sc3P
Source: Alexandria
Functional: PBE
Structure: relaxed

Cell lengths 4.4742, 5.8230, 5.8779 Å; angles 90.00, 90.00, 90.00 degrees
Last column: nearest neighbours and their distance in Å.
Fractional positions:
Sc  0.2500  0.0118  0.1490  7 Sc 2.77-3.05, 2 P 2.83
Sc  0.2500  0.2500  0.6105  4 P 2.79-2.93, 6 Sc 3.05
Sc  0.2500  0.4882  0.1490  7 Sc 2.77-3.05, 2 P 2.83
Sc  0.7500  0.5118  0.8510  7 Sc 2.77-3.05, 2 P 2.83
Sc  0.7500  0.7500  0.3895  4 P 2.79-2.93, 6 Sc 3.05
Sc  0.7500  0.9882  0.8510  7 Sc 2.77-3.05, 2 P 2.83
P  0.2500  0.7500  0.6730  8 Sc 2.79-2.93
P  0.7500  0.2500  0.3270  8 Sc 2.79-2.93

The calculated volume comes out at 19.1 A^3/atom. For the energy of formation, the calculation gives -2.0 eV/f.u. The calculated density comes out at 3.6 g/cm³.

***

Record 7
Compound: ScP3
Source: Alexandria
Functional: PBE
Structure: relaxed

Cell lengths 3.5715, 5.2679, 3.8737 Å; angles 90.00, 90.00, 90.00 degrees
Last column: nearest neighbours and their distance in Å.
Fractional positions:
Sc  0.0000  0.0000  0.0000  6 P 2.61-2.66
P  0.0000  0.5000  0.9844  2 P 2.30
P  0.5000  0.0000  0.4916  4 Sc 2.61-2.66, 2 P 2.68
P  0.5000  0.5000  0.3588  2 P 2.30

The calculated volume comes out at 18.2 A^3/atom. For the energy of formation, the calculation gives -2.2 eV/f.u. The calculated density comes out at 3.1 g/cm³.

***

Record 8
Compound: ScP3
Source: Alexandria
Functional: PBE
Structure: relaxed

Cell lengths 3.5801, 3.5801, 5.0268 Å; angles 90.00, 90.00, 90.00 degrees
Last column: nearest neighbours and their distance in Å.
Fractional positions:
Sc  0.0000  0.0000  0.0000  2 P 2.51
P  0.0000  0.0000  0.5000  2 Sc 2.51, 8 P 2.77
P  0.5000  0.5000  0.2759  1 P 2.25
P  0.5000  0.5000  0.7241  1 P 2.25

The calculated volume comes out at 16.1 A^3/atom. For the energy of formation, the calculation gives -1.3 eV/f.u. The calculated density comes out at 3.6 g/cm³.

***

Record 9
Compound: Sc2P
Source: Alexandria
Functional: PBE
Structure: relaxed

Cell lengths 4.2048, 4.2048, 3.9442 Å; angles 90.00, 90.00, 120.00 degrees
Last column: nearest neighbours and their distance in Å.
Fractional positions:
Sc  0.3333  0.6667  0.2482  3 P 2.62
Sc  0.6667  0.3333  0.7518  3 P 2.62
P  0.0000  0.0000  0.0000  6 Sc 2.62

The calculated volume comes out at 20.1 A^3/atom. For the energy of formation, the calculation gives -2.0 eV/f.u. The calculated density comes out at 3.3 g/cm³.

***

Record 10
Compound: Sc3P
Source: Alexandria
Functional: PBE
Structure: relaxed

Cell lengths 6.1390, 6.1390, 4.6291 Å; angles 90.00, 90.00, 120.00 degrees
Last column: nearest neighbours and their distance in Å.
Fractional positions:
Sc  0.1745  0.3490  0.2500  4 P 2.87-3.07, 6 Sc 2.93-2.97
Sc  0.1745  0.8255  0.2500  4 P 2.87-3.07, 6 Sc 2.93-2.97
Sc  0.3490  0.1745  0.7500  4 P 2.87-3.07, 6 Sc 2.93-2.97
Sc  0.6510  0.8255  0.2500  4 P 2.87-3.07, 6 Sc 2.93-2.97
Sc  0.8255  0.1745  0.7500  4 P 2.87-3.07, 6 Sc 2.93-2.97
Sc  0.8255  0.6510  0.7500  4 P 2.87-3.07, 6 Sc 2.93-2.97
P  0.3333  0.6667  0.7500  12 Sc 2.87-3.07
P  0.6667  0.3333  0.2500  12 Sc 2.87-3.07

The calculated volume comes out at 18.9 A^3/atom. For the energy of formation, the calculation gives -1.9 eV/f.u. The calculated density comes out at 3.6 g/cm³.

***

- energy of formation of number 3 (ScP3)?
  -0.7 eV/f.u.

***

Please write out number 5 again, unchanged.
Compound: ScP8
Source: Alexandria
Functional: PBE
Structure: relaxed

Cell lengths 7.2717, 7.2717, 7.2717 Å; angles 92.66, 92.66, 155.11 degrees
Last column: nearest neighbours and their distance in Å.
Fractional positions:
Sc  0.0000  0.0000  0.0000  12 P 2.65-2.74
P  0.0000  0.2636  0.2636  4 P 2.47, 1 Sc 2.65
P  0.0000  0.7364  0.7364  4 P 2.47, 1 Sc 2.65
P  0.2636  0.0000  0.2636  4 P 2.47, 1 Sc 2.65
P  0.3414  0.3414  0.6828  4 P 2.47, 2 Sc 2.74
P  0.3414  0.6586  0.0000  4 P 2.47, 2 Sc 2.74
P  0.6586  0.3414  0.0000  4 P 2.47, 2 Sc 2.74
P  0.6586  0.6586  0.3172  4 P 2.47, 2 Sc 2.74
P  0.7364  0.0000  0.7364  4 P 2.47, 1 Sc 2.65

The calculated volume comes out at 17.6 A^3/atom. For the energy of formation, the calculation gives 1.1 eV/f.u. The calculated density comes out at 3.1 g/cm³.